1.
Computed, not measured: crystalline CuAsN3 at its relaxed geometry at the PBEsol level of DFT.

a = 3.7441 Å, b = 3.7441 Å, c = 3.7441 Å
α = 90.00°, β = 90.00°, γ = 90.00°
Last column: nearest neighbours and their distance in Å.
Positions (direct):
As  0.5000  0.5000  0.5000  12 N 2.65
Cu  0.0000  0.0000  0.0000  6 N 1.87
N  0.0000  0.5000  0.0000  2 Cu 1.87
N  0.0000  0.0000  0.5000  2 Cu 1.87
N  0.5000  0.0000  0.0000  2 Cu 1.87

* formation energy from raw total energies: 912 kJ/mol of formula units
* space group: Pm-3m
* volume: 52.5 Å³ per cell



2.
Computed, not measured: crystalline LiLa2Sc at its relaxed geometry at the PBEsol level of DFT.

a = 3.5815 Å, b = 5.5152 Å, c = 6.4696 Å
α = 115.23°, β = 106.07°, γ = 90.00°
Last column: nearest neighbours and their distance in Å.
Positions (direct):
La  0.7269  0.7269  0.4538  2 Li 3.10, 4 La 3.33
La  0.2731  0.2731  0.5462  2 Li 3.10, 4 La 3.33
Li  0.0000  0.5000  0.0000  4 La 3.10, 4 Sc 3.29
Sc  0.5000  0.0000  0.0000  4 Li 3.29, 4 La 3.53, 2 Sc 3.58

* space group: Immm
* volume: 110.1 Å³ per cell
* excess energy over the best structure of this formula in the dataset: 0.243 eV/f.u.
* DFT formation energy: 155 meV/atom



3.
Computed, not measured: crystalline Cu3BiSe2ClO8 at its relaxed geometry at the PBEsol level of DFT.

a = 6.3054 Å, b = 7.1546 Å, c = 9.6381 Å
α = 90.00°, β = 90.00°, γ = 90.00°
Last column: nearest neighbours and their distance in Å.
Positions (direct):
Cu  0.2500  0.0000  0.2500  4 O 1.92-1.96
Cu  0.7500  0.0000  0.2500  4 O 1.92-1.96
Cu  0.7500  0.0000  0.7500  4 O 1.92-1.96
Cu  0.2500  0.0000  0.7500  4 O 1.92-1.96
Cu  0.5000  0.7931  0.5000  4 O 1.93-1.95
Cu  0.0000  0.2069  0.0000  4 O 1.93-1.95
Bi  0.5000  0.2534  0.5000  6 O 2.30-2.42
Bi  0.0000  0.7466  0.0000  6 O 2.30-2.42
Se  0.5000  0.6027  0.8068  3 O 1.71-1.73
Se  0.0000  0.3973  0.6932  3 O 1.71-1.73
Se  0.5000  0.6027  0.1932  3 O 1.71-1.73
Se  0.0000  0.3973  0.3068  3 O 1.71-1.73
Cl  0.5000  0.1501  0.0000  6 Cu 3.07-3.18
Cl  0.0000  0.8499  0.5000  6 Cu 3.07-3.18
O  0.5000  0.9902  0.3632  3 Cu 1.92-1.93
O  0.0000  0.0098  0.1368  3 Cu 1.92-1.93
O  0.5000  0.9902  0.6368  3 Cu 1.92-1.93
O  0.0000  0.0098  0.8632  3 Cu 1.92-1.93
O  0.2870  0.7520  0.8329  1 Se 1.73
O  0.7870  0.2480  0.6671  1 Se 1.73
O  0.7130  0.7520  0.1671  1 Se 1.73
O  0.2130  0.2480  0.3329  1 Se 1.73
O  0.2130  0.2480  0.6671  1 Se 1.73
O  0.7130  0.7520  0.8329  1 Se 1.73
O  0.7870  0.2480  0.3329  1 Se 1.73
O  0.2870  0.7520  0.1671  1 Se 1.73
O  0.5000  0.5847  0.3700  1 Se 1.71
O  0.0000  0.4153  0.1300  1 Se 1.71
O  0.5000  0.5847  0.6300  1 Se 1.71
O  0.0000  0.4153  0.8700  1 Se 1.71

* formation energy from raw total energies: -1140 kJ/mol of formula units
* space group: Pmmn
* volume: 434.8 Å³ per cell



4.
Computed, not measured: crystalline LaBeFe2 at its relaxed geometry at the PBEsol level of DFT.

a = 3.8472 Å, b = 3.8472 Å, c = 5.4820 Å
α = 69.44°, β = 69.44°, γ = 60.00°
Last column: nearest neighbours and their distance in Å.
Positions (direct):
Be  0.3134  0.3134  0.0597  6 Fe 2.25-2.30
Fe  0.0040  0.0040  0.9882  3 Fe 2.23, 3 Be 2.25
Fe  0.6861  0.6861  0.9420  3 Fe 2.23, 3 Be 2.30
La  0.5002  0.5002  0.4986  1 Fe 2.79, 1 Be 2.81

* space group: R3m
* volume: 64.2 Å³ per cell
* DFT formation energy: -5 meV/atom